The following is a PBE-GGA calculation of an optimized crystal structure of Ho12Er7Tm, from Alexandria via LeMat-Bulk.

```
Ho12Er7Tm
1.0
-2.460 5.884 -5.747
-7.676 -3.812 0.495
-1.239 5.060 6.824
Ho Er Tm
12 7 1
Direct
0.814 0.250 0.687
0.750 0.313 0.186
0.479 0.148 0.416
0.852 0.584 0.521
0.313 0.186 0.750
0.584 0.521 0.852
0.416 0.479 0.148
0.687 0.814 0.250
0.148 0.416 0.479
0.521 0.852 0.584
0.250 0.687 0.814
0.186 0.750 0.313
0.916 0.648 0.979
0.352 0.021 0.084
0.021 0.084 0.352
0.500 0.500 0.500
0.979 0.916 0.648
0.648 0.979 0.916
0.084 0.352 0.021
0.000 0.000 0.000
```

=====

The following is a PBE-GGA calculation of an optimized crystal structure of Ho3Er8Tm, from Alexandria via LeMat-Bulk.

```
Ho3Er8Tm
1.0
6.597 0.000 -3.732
-2.111 6.250 -3.732
0.836 1.165 9.176
Ho Er Tm
3 8 1
Direct
0.250 0.750 0.500
0.500 0.500 0.000
0.750 0.250 0.500
0.875 0.374 0.250
0.374 0.374 0.250
0.125 0.125 0.750
0.626 0.125 0.750
0.374 0.875 0.250
0.875 0.875 0.250
0.626 0.626 0.750
0.125 0.626 0.750
0.000 0.000 0.000
```

=====

The following is a PBE-GGA calculation of an optimized crystal structure of HoEr8Tm6, from Alexandria via LeMat-Bulk.

```
HoEr8Tm6
1.0
8.886 0.000 0.000
4.443 7.696 0.000
4.443 2.565 6.759
Ho Er Tm
1 8 6
Direct
0.000 0.000 0.000
0.721 0.109 0.427
0.891 0.257 0.573
0.257 0.279 0.573
0.576 0.576 0.271
0.424 0.424 0.729
0.743 0.721 0.427
0.109 0.743 0.427
0.279 0.891 0.573
0.459 0.888 0.879
0.112 0.225 0.121
0.225 0.541 0.121
0.775 0.459 0.879
0.888 0.775 0.879
0.541 0.112 0.121
```

=====

The following is a PBE-GGA calculation of an optimized crystal structure of HoEr7Tm2, from Alexandria via LeMat-Bulk.

```
HoEr7Tm2
1.0
5.222 0.000 0.000
0.000 9.361 -0.689
0.000 -4.838 8.043
Ho Er Tm
1 7 2
Direct
0.000 0.000 0.000
0.000 0.801 0.199
0.000 0.199 0.801
0.500 0.068 0.289
0.500 0.932 0.711
0.500 0.289 0.068
0.500 0.711 0.932
0.500 0.500 0.500
0.500 0.702 0.298
0.500 0.298 0.702
```

=====

What are the ΔH_f (0 K) values for these records? In order: 0.306, 0.726, 0.135, 0.710 eV/atom.